(1)
{"formula": "Y3CdAg", "functional": "PBE", "state": "optimized geometry", "lattice": [[5.076, 0.000, 1.160], [0.000, 5.204, 0.000], [0.322, 0.000, 10.278]], "species": ["Y", "Y", "Y", "Y", "Y", "Y", "Cd", "Cd", "Ag", "Ag"], "frac_coords": [[0.762, 0.250, 0.124], [0.389, 0.250, 0.871], [0.575, 0.250, 0.498], [0.260, 0.750, 0.129], [0.886, 0.750, 0.876], [0.073, 0.750, 0.502], [0.669, 0.750, 0.311], [0.980, 0.250, 0.689], [0.484, 0.750, 0.681], [0.165, 0.250, 0.319]], "dos_ef_per_ev_atom": 1.223, "delta_e_f_mev_per_atom": -243.1, "magmom_total_mub_per_fu": 0.1}

(2)
{"formula": "YCd3Ag8", "functional": "PBE", "state": "optimized geometry", "lattice": [[5.629, 0.000, 0.000], [-2.814, 4.875, 0.000], [0.000, 0.000, 8.888]], "species": ["Y", "Cd", "Cd", "Cd", "Ag", "Ag", "Ag", "Ag", "Ag", "Ag", "Ag", "Ag"], "frac_coords": [[0.000, 0.000, 0.561], [0.667, 0.333, 0.434], [0.667, 0.333, 0.061], [0.000, 0.000, 0.948], [0.333, 0.667, 0.500], [0.333, 0.667, 0.998], [0.504, 0.009, 0.751], [0.504, 0.496, 0.751], [0.991, 0.496, 0.751], [0.163, 0.326, 0.248], [0.163, 0.837, 0.248], [0.674, 0.837, 0.248]], "dos_ef_per_ev_atom": 0.526, "delta_e_f_mev_per_atom": -60.3, "magmom_total_mub_per_fu": 0.0}

(3)
{"formula": "Y3CdAg", "functional": "PBE", "state": "optimized geometry", "lattice": [[-2.513, 4.758, 1.263], [-0.336, -1.581, 5.285], [4.911, 2.326, 1.008]], "species": ["Y", "Y", "Y", "Ag", "Cd"], "frac_coords": [[0.000, 0.500, 0.000], [0.000, 0.000, 0.500], [0.500, 0.000, 0.000], [0.000, 0.000, 0.000], [0.500, 0.500, 0.500]], "dos_ef_per_ev_atom": 1.270, "delta_e_f_mev_per_atom": 252.0, "magmom_total_mub_per_fu": 2.3}